Record 1
Cr2HgP: optimized geometry, PBE.

Results
- energy relative to the elements (eV/atom) = 0.4548

The structure in extended XYZ format:
```
4
Lattice="4.449 0.000 0.000 0.000 4.449 0.000 0.000 0.000 3.427" Properties=species:S:1:pos:R:3 pbc="T T T"
Cr 0.000 2.224 0.000
Cr 2.224 0.000 0.000
Hg 0.000 0.000 1.713
P 2.224 2.224 1.713
```

Record 2
CrHgP2: optimized geometry, PBE.

Results
- energy relative to the elements (eV/atom) = 0.4742

The structure in extended XYZ format:
```
4
Lattice="2.768 -3.576 0.000 2.768 3.576 0.000 -1.766 0.000 3.697" Properties=species:S:1:pos:R:3 pbc="T T T"
Cr 0.000 0.000 0.000
Hg 2.768 0.000 0.000
P 0.501 1.788 1.848
P 0.501 -1.788 1.848
```

Record 3
Cr2HgP: optimized geometry, PBE.

Results
- energy relative to the elements (eV/atom) = 0.2560

The structure in extended XYZ format:
```
4
Lattice="4.077 0.000 0.000 0.000 1.525 5.489 0.000 -1.525 5.489" Properties=species:S:1:pos:R:3 pbc="T T T"
Cr 0.000 0.000 0.000
Cr 2.038 0.000 5.088
Hg 2.038 0.000 2.000
P 0.000 0.000 3.777
```

Number 1: density of states at the Fermi level 3.400 states/eV/f.u.. Number 2: density of states at the Fermi level 1.800 states/eV/f.u.. Number 3: density of states at the Fermi level 1.116 states/eV/f.u..